VASP calculation (PBE-GGA) on a relaxed GdErAgPb crystal.

a = 5.2834 Å, b = 5.2834 Å, c = 5.2834 Å
α = 60.00°, β = 60.00°, γ = 60.00°
Element x y z (fractional)
Gd: 0.0000 0.0000 0.0000
Er: 0.5000 0.5000 0.5000
Ag: 0.7500 0.7500 0.7500
Pb: 0.2500 0.2500 0.2500

**Total magnetization**: 7.9 μB/cell
**SG**: F-43m, No. 216
**DFT formation energy**: -0.405 eV per atom
**DOS at the Fermi energy**: 3.8 states/eV/cell
**V**: 104.3 Å³/f.u.